VASP calculation (GGA-PBE) on an optimized crystal structure of SbAs2Cl. Values from VASP.

The structure in Quantum ESPRESSO input format:
```
&SYSTEM
  ibrav = 0, nat = 4, ntyp = 3
/
ATOMIC_SPECIES
Sb 121.76 Sb.upf
As 74.92 As.upf
Cl 35.45 Cl.upf
CELL_PARAMETERS angstrom
3.978 0.000 0.000
0.000 3.978 0.000
0.000 0.000 5.637
ATOMIC_POSITIONS angstrom
Sb 0.000 0.000 0.000
As 0.000 1.989 2.819
As 1.989 0.000 2.819
Cl 1.989 1.989 0.000
```

Computed properties:
The uncorrected formation energy comes out at 314 meV/atom. For the spin magnetization, the calculation gives 0.0000 μB/atom.